Density functional theory data (PBE-GGA) for crystalline KLaHgF6 at its relaxed geometry.

Unit cell a=6.4309 b=6.4309 c=10.1154 alpha=90.00 beta=90.00 gamma=120.00
With the nearest neighbours (Å) after each atom.
Fractional positions:
K1 0.0000 0.0000 0.0000  6 F 2.71
K2 0.0000 0.0000 0.5000  6 F 2.71
La1 0.3333 0.6667 0.2500  6 F 2.35
La2 0.6667 0.3333 0.7500  6 F 2.35
Hg1 0.6667 0.3333 0.2500  6 F 2.36
Hg2 0.3333 0.6667 0.7500  6 F 2.36
F1 0.6379 0.6388 0.1373  1 La 2.35, 1 Hg 2.36
F2 0.0009 0.3621 0.1373  1 La 2.35, 1 Hg 2.36
F3 0.3621 0.0009 0.6373  1 La 2.35, 1 Hg 2.36
F4 0.9991 0.6379 0.8627  1 La 2.35, 1 Hg 2.36
F5 0.3612 0.3621 0.3627  1 La 2.35, 1 Hg 2.36
F6 0.0009 0.6388 0.3627  1 La 2.35, 1 Hg 2.36
F7 0.6388 0.0009 0.8627  1 La 2.35, 1 Hg 2.36
F8 0.6379 0.9991 0.3627  1 La 2.35, 1 Hg 2.36
F9 0.9991 0.3612 0.6373  1 La 2.35, 1 Hg 2.36
F10 0.3612 0.9991 0.1373  1 La 2.35, 1 Hg 2.36
F11 0.6388 0.6379 0.6373  1 La 2.35, 1 Hg 2.36
F12 0.3621 0.3612 0.8627  1 La 2.35, 1 Hg 2.36

Results
crystal system	trigonal
space-group type	No. 163
E_tot	-87.22	eV per cell

Density functional theory data (PBE-GGA) for crystalline NbTeI2 at its relaxed geometry.

Unit cell a=3.8209 b=5.5327 c=7.7914 alpha=110.81 beta=104.16 gamma=90.00
With the nearest neighbours (Å) after each atom.
Fractional positions:
Nb1 0.5000 0.0485 0.0000  1 Te 2.56, 4 I 2.85
Te1 0.5000 0.5108 0.0000  1 Nb 2.56
I1 0.1481 0.1369 0.2970  2 Nb 2.85
I2 0.8519 0.8397 0.7030  2 Nb 2.85

Results
crystal system	orthorhombic
space-group type	No. 44
energy above the most stable polymorph in this dataset	0.0	meV per atom

Density functional theory data (PBE-GGA) for crystalline CsBaNaF4 at its relaxed geometry.

Unit cell a=6.0498 b=6.2807 c=7.7892 alpha=90.00 beta=112.85 gamma=90.00
With the nearest neighbours (Å) after each atom.
Fractional positions:
Cs1 0.5993 0.7500 0.1986  7 F 2.79-3.08
Cs2 0.4007 0.2500 0.8014  7 F 2.79-3.08
Ba1 0.1273 0.2500 0.2545  5 F 2.65-2.80
Ba2 0.8727 0.7500 0.7455  5 F 2.65-2.80
Na1 0.2476 0.7500 0.4951  5 F 2.18-2.26
Na2 0.7524 0.2500 0.5049  5 F 2.18-2.26
F1 0.9424 0.2500 0.8847  1 Ba 2.65, 1 Na 2.73
F2 0.4051 0.7500 0.8101  1 Na 2.26
F3 0.0576 0.7500 0.1153  1 Ba 2.65, 1 Na 2.73
F4 0.5949 0.2500 0.1899  1 Na 2.26
F5 0.5000 0.5000 0.5000  2 Na 2.18
F6 0.0000 0.0000 0.5000  2 Na 2.18
F7 0.5000 0.0000 0.5000  2 Na 2.18
F8 0.0000 0.5000 0.5000  2 Na 2.18

Results
crystal system	orthorhombic
space-group type	No. 63
E_tot	-66.73	eV per cell

Density functional theory data (PBE-GGA) for crystalline SrHgRuF2 at its relaxed geometry.

Unit cell a=4.4165 b=5.6827 c=4.4165 alpha=90.00 beta=90.00 gamma=90.00
With the nearest neighbours (Å) after each atom.
Fractional positions:
Ru1 0.0000 0.0000 0.0000  4 F 2.21
F1 0.0000 0.0000 0.5000  2 Ru 2.21
F2 0.5000 0.0000 0.0000  2 Ru 2.21
Hg1 0.5000 0.5000 0.5000  4 Sr 3.12
Sr1 0.0000 0.5000 0.0000  2 Ru 2.84, 4 Hg 3.12

Results
crystal system	tetragonal
space-group type	No. 123
E_tot	-18.30	eV per cell

Density functional theory data (PBE-GGA) for crystalline BaInBr2 at its relaxed geometry.

Unit cell a=6.3544 b=5.0938 c=5.8543 alpha=64.26 beta=90.00 gamma=90.00
With the nearest neighbours (Å) after each atom.
Fractional positions:
Ba1 0.5000 0.9152 0.7936  5 Br 3.22-3.27
Br1 0.0000 0.8418 0.9423  3 In 3.18-3.37, 2 Ba 3.27
Br2 0.5000 0.2210 0.1829  3 Ba 3.22-3.27
In1 0.0000 0.5220 0.5811  3 Br 3.18-3.37

Results
crystal system	monoclinic
space-group type	No. 6
energy above the most stable polymorph in this dataset	39.8	meV per atom

Density functional theory data (PBE-GGA) for crystalline CeNd14Sc at its relaxed geometry.

Unit cell a=7.2860 b=7.2860 c=10.3261 alpha=90.00 beta=90.00 gamma=90.01
With the nearest neighbours (Å) after each atom.
Fractional positions:
Ce1 0.8748 0.1252 0.0000  12 Nd 3.61-3.65
Nd1 0.3746 0.6254 0.5000  12 Nd 3.64-3.68
Nd2 0.8752 0.1248 0.5000  12 Nd 3.64-3.70
Nd3 0.8747 0.6245 0.0000  8 Nd 3.60-3.61, 2 Ce 3.64-3.65, 2 Sc 3.64-3.65
Nd4 0.8752 0.6253 0.5000  12 Nd 3.64-3.69
Nd5 0.3755 0.1253 0.0000  8 Nd 3.60-3.61, 2 Ce 3.64-3.65, 2 Sc 3.64-3.65
Nd6 0.3747 0.1248 0.5000  12 Nd 3.64-3.69
Nd7 0.6235 0.8734 0.7559  1 Sc 3.59, 10 Nd 3.60-3.70, 1 Ce 3.62
Nd8 0.6235 0.8734 0.2441  1 Sc 3.59, 10 Nd 3.60-3.70, 1 Ce 3.62
Nd9 0.1266 0.3765 0.7559  1 Sc 3.59, 10 Nd 3.60-3.70, 1 Ce 3.62
Nd10 0.1266 0.3765 0.2441  1 Sc 3.59, 10 Nd 3.60-3.70, 1 Ce 3.62
Nd11 0.1264 0.8736 0.7564  1 Sc 3.59, 10 Nd 3.60-3.70, 1 Ce 3.61
Nd12 0.1264 0.8736 0.2436  1 Sc 3.59, 10 Nd 3.60-3.70, 1 Ce 3.61
Nd13 0.6235 0.3765 0.7553  1 Sc 3.60, 10 Nd 3.61-3.70, 1 Ce 3.62
Nd14 0.6235 0.3765 0.2447  1 Sc 3.60, 10 Nd 3.61-3.70, 1 Ce 3.62
Sc1 0.3753 0.6247 0.0000  12 Nd 3.59-3.65

Results
formation energy	0.038	eV/atom
crystal system	orthorhombic
space-group type	No. 38

| no. | magnetization (μB/cell) |
| --- | --- |
| 1 | 0.00 |
| 2 | 0.00 |
| 3 | 0.14 |
| 4 | 1.34 |
| 5 | 0.94 |
| 6 | 1.19 |